Material: Na2Zn2Sn3
Method: DFT, PBE
State: optimized geometry

```
Na2Zn2Sn3
1.0
4.6045 0.0000 -1.0978
0.0000 7.3003 0.0000
0.1059 0.0000 10.6498
Sn Na Zn
6 4 4
Direct
0.7682 0.2500 0.5364
0.4344 0.9432 0.8687
0.2318 0.7500 0.4636
0.5656 0.4432 0.1313
0.5656 0.0568 0.1313
0.4344 0.5568 0.8687
0.9510 0.2500 0.9020
0.8435 0.7500 0.6870
0.1565 0.2500 0.3130
0.0490 0.7500 0.0980
0.6893 0.9340 0.3786
0.3107 0.0660 0.6214
0.6893 0.5660 0.3786
0.3107 0.4340 0.6214
```

Properties
Electronic total energy ... -2.5389 eV/atom
Energy relative to the lowest polymorph listed for this composition ... 0.0 meV per atom
D(E_F) ... 4.65 states/eV/cell

Material: Hf2ScB2
Method: DFT, PBE
State: optimized geometry

```
Hf2ScB2
1.0
6.4368 0.0000 0.0000
0.0000 6.4368 0.0000
0.0000 0.0000 3.5211
B Hf Sc
4 4 2
Direct
0.9015 0.5985 0.0000
0.0985 0.4015 0.0000
0.4015 0.9015 0.0000
0.5985 0.0985 0.0000
0.6772 0.8228 0.5000
0.8228 0.3228 0.5000
0.3228 0.1772 0.5000
0.1772 0.6772 0.5000
0.0000 0.0000 0.0000
0.5000 0.5000 0.0000
```

Properties
Electronic total energy ... -8.3554 eV/atom
D(E_F) ... 7.13 states/eV/cell

Material: Pu3Te3S2
Method: DFT, PBE
State: optimized geometry

```
Pu3Te3S2
1.0
4.1266 0.0000 0.0000
0.0000 4.6589 0.0000
-2.0633 -2.3295 11.5468
S Te Pu
2 3 3
Direct
0.7567 0.2567 0.5134
0.2433 0.7433 0.4866
0.3842 0.3842 0.7684
0.6158 0.6158 0.2316
0.5000 0.0000 0.0000
0.0000 0.5000 0.0000
0.1824 0.1824 0.3648
0.8176 0.8176 0.6352
```

Properties
Electronic total energy ... -8.6702 eV/atom
D(E_F) ... 23.40 states/eV/cell
Uncorrected formation energy ... -105 kJ/mol of atoms

Material: KPr2DyS4
Method: DFT, PBE
State: optimized geometry

```
KPr2DyS4
1.0
4.0724 0.0000 0.0000
0.0000 7.1346 -0.1783
0.0000 2.4755 6.7369
K Dy S Pr
1 1 4 2
Direct
0.5000 0.5000 0.0000
0.0000 0.5000 0.5000
0.5000 0.7409 0.2662
0.0000 0.2446 0.2689
0.5000 0.2591 0.7338
0.0000 0.7554 0.7311
0.5000 0.0000 0.5000
0.0000 0.0000 0.0000
```

Properties
Electronic total energy ... -5.8361 eV/atom
D(E_F) ... 2.68 states/eV/cell
Uncorrected formation energy ... -180 kJ/mol of atoms

Question: Which formula does entry 2 have?
Answer: Hf2ScB2

Question: The lowest electronic total energy belongs to which entry?
Answer: Pu3Te3S2

Question: Which value of D(E_F) does entry 3 give?
Answer: 23.40 states/eV/cell

Question: D(E_F) of number 4 (KPr2DyS4)?
Answer: 2.68 states/eV/cell